Crystalline TiInAu at its relaxed geometry. Source: Alexandria, functional PBE.

Properties
Calculated formation energy, meV per atom: -254
Space group: No. 11
Calculated volume, Å³ per cell: 113

Lattice parameters (Å, degrees): 4.129 4.236 6.771 90.00 72.09 90.00
Element x y z (fractional)
Au 0.969 0.096 0.448
Au 0.159 0.596 0.061
Ti 0.314 0.096 0.756
Ti 0.815 0.596 0.753
In 0.648 0.097 0.084
In 0.480 0.597 0.425

---

Crystalline Ac3Si3Ir2 at its relaxed geometry. Source: Alexandria, functional PBE.

Properties
ΔE_f (raw), kJ/mol of formula units: -572
Space group: No. 63
Calculated volume, Å³ per cell: 387

Lattice parameters (Å, degrees): 4.291 6.330 15.160 90.00 90.00 109.81
Element x y z (fractional)
Ac 0.644 0.287 0.250
Ac 0.069 0.138 0.605
Ac 0.931 0.862 0.105
Ac 0.931 0.862 0.395
Ac 0.069 0.138 0.895
Ac 0.356 0.713 0.750
Si 0.670 0.341 0.464
Si 0.330 0.659 0.964
Si 0.670 0.341 0.036
Si 0.660 0.321 0.750
Si 0.330 0.659 0.536
Si 0.340 0.679 0.250
Ir 0.778 0.556 0.605
Ir 0.222 0.444 0.395
Ir 0.778 0.556 0.895
Ir 0.222 0.444 0.105

---

Crystalline BaB6Ir2Pt2 at its relaxed geometry. Source: Alexandria, functional PBE.

Properties
Calculated formation energy, meV per atom: -51
Space group: No. 12
Calculated volume, Å³ per cell: 193

Lattice parameters (Å, degrees): 6.115 6.006 6.832 112.59 89.99 59.41
Element x y z (fractional)
B 0.071 0.858 0.536
B 0.993 0.452 0.105
B 0.007 0.548 0.895
B 0.929 0.142 0.464
B 0.555 0.452 0.105
B 0.445 0.548 0.895
Ir 0.849 0.301 0.804
Ir 0.151 0.699 0.196
Pt 0.119 0.763 0.798
Pt 0.881 0.237 0.202
Ba 0.500 0.000 0.500